TlB3O5: relaxed, PBE.

Energy ... -267.85 eV per cell
Excess energy over the best structure of this formula in the dataset ... 0.0000 eV per atom
Uncorrected formation energy ... -2.197 eV per atom
Space group ... P2_12_12_1

a b c (Å): 5.4622 8.4123 10.4416
angles (deg): 90.00 90.00 90.00
Last column: nearest neighbours and their distance in Å.
Fractional positions:
Tl 0.0411 0.2443 0.3610  3 O 2.66-2.95
Tl 0.4589 0.7557 0.8610  3 O 2.66-2.95
Tl 0.5411 0.2557 0.6390  3 O 2.66-2.95
Tl 0.9589 0.7443 0.1390  3 O 2.66-2.95
B 0.0353 0.9302 0.6956  3 O 1.37-1.40
B 0.0834 0.1470 0.8579  4 O 1.47-1.50
B 0.2121 0.6208 0.4582  3 O 1.36-1.42
B 0.2879 0.3792 0.9582  3 O 1.36-1.42
B 0.4166 0.8530 0.3579  4 O 1.47-1.50
B 0.4647 0.0698 0.1956  3 O 1.37-1.40
B 0.5353 0.5698 0.3044  3 O 1.37-1.40
B 0.5834 0.3530 0.1421  4 O 1.47-1.50
B 0.7121 0.8792 0.5418  3 O 1.36-1.42
B 0.7879 0.1208 0.0418  3 O 1.36-1.42
B 0.9166 0.6470 0.6421  4 O 1.47-1.50
B 0.9647 0.4302 0.8044  3 O 1.37-1.40
O 0.0682 0.7700 0.7097  2 B 1.37-1.50
O 0.0721 0.5560 0.5523  2 B 1.36-1.48
O 0.1438 0.4885 0.8877  2 B 1.40-1.42
O 0.1828 0.0325 0.7637  2 B 1.38-1.48
O 0.2100 0.7776 0.4244  2 B 1.37-1.47
O 0.2900 0.2224 0.9244  2 B 1.37-1.47
O 0.3172 0.9675 0.2637  2 B 1.38-1.48
O 0.3562 0.5115 0.3877  2 B 1.40-1.42
O 0.4279 0.4440 0.0523  2 B 1.36-1.48
O 0.4318 0.2300 0.2097  2 B 1.37-1.50
O 0.5682 0.7300 0.2903  2 B 1.37-1.50
O 0.5721 0.9440 0.4477  2 B 1.36-1.48
O 0.6438 0.0115 0.1123  2 B 1.40-1.42
O 0.6828 0.4675 0.2363  2 B 1.38-1.48
O 0.7100 0.7224 0.5756  2 B 1.37-1.47
O 0.7900 0.2776 0.0756  2 B 1.37-1.47
O 0.8172 0.5325 0.7363  2 B 1.38-1.48
O 0.8562 0.9885 0.6123  2 B 1.40-1.42
O 0.9279 0.0560 0.9477  2 B 1.36-1.48
O 0.9318 0.2700 0.7903  2 B 1.37-1.50

Tl3BO6: relaxed, PBE.

Energy ... -107.55 eV per cell
Uncorrected formation energy ... -1.025 eV per atom
Space group ... Cmc2_1

a b c (Å): 7.2186 7.2186 5.1480
angles (deg): 90.00 90.00 103.91
Last column: nearest neighbours and their distance in Å.
Fractional positions:
Tl 0.1020 0.8980 0.5000  6 O 2.24-2.36
Tl 0.1980 0.4235 0.4231  6 O 2.24-2.42
Tl 0.4235 0.1980 0.9231  6 O 2.24-2.42
Tl 0.5765 0.8020 0.4231  6 O 2.24-2.42
Tl 0.8020 0.5765 0.9231  6 O 2.24-2.42
Tl 0.8980 0.1020 0.0000  6 O 2.24-2.36
B 0.3034 0.6966 0.8638  4 O 1.50-1.53
B 0.6966 0.3034 0.3638  4 O 1.50-1.53
O 0.1037 0.6259 0.7484  1 B 1.53
O 0.1410 0.1906 0.7208  4 Tl 2.24-2.36
O 0.1906 0.1410 0.2208  4 Tl 2.24-2.36
O 0.3063 0.6937 0.1549  1 B 1.50
O 0.3741 0.8963 0.7484  1 B 1.53
O 0.4216 0.5784 0.7332  1 B 1.50
O 0.5784 0.4216 0.2332  1 B 1.50
O 0.6259 0.1037 0.2484  1 B 1.53
O 0.6937 0.3063 0.6549  1 B 1.50
O 0.8094 0.8590 0.7208  4 Tl 2.24-2.36
O 0.8590 0.8094 0.2208  4 Tl 2.24-2.36
O 0.8963 0.3741 0.2484  1 B 1.53

TlBO2: relaxed, PBE.

Energy ... -49.59 eV per cell
Excess energy over the best structure of this formula in the dataset ... 0.3873 eV per atom
Uncorrected formation energy ... -1.458 eV per atom
Space group ... Fd-3m

a b c (Å): 5.0016 5.0016 5.0016
angles (deg): 60.00 60.00 60.00
Last column: nearest neighbours and their distance in Å.
Fractional positions:
Tl 0.1250 0.1250 0.1250  12 O 2.93, 4 Tl 3.06, 4 B 3.06
Tl 0.8750 0.8750 0.8750  12 O 2.93, 4 B 3.06, 4 Tl 3.06
B 0.3750 0.3750 0.3750  4 O 1.53
B 0.6250 0.6250 0.6250  4 O 1.53
O 0.0000 0.5000 0.5000  2 B 1.53
O 0.5000 0.0000 0.5000  2 B 1.53
O 0.5000 0.5000 0.0000  2 B 1.53
O 0.5000 0.5000 0.5000  2 B 1.53

TlB3O: relaxed, PBE.

Energy ... -18.10 eV per cell
Excess energy over the best structure of this formula in the dataset ... 0.0000 eV per atom
Uncorrected formation energy ... 1.851 eV per atom
Space group ... Pm-3m

a b c (Å): 3.8595 3.8595 3.8595
angles (deg): 90.00 90.00 90.00
Last column: nearest neighbours and their distance in Å.
Fractional positions:
Tl 0.0000 0.0000 0.0000  12 B 2.73
B 0.0000 0.5000 0.5000  2 O 1.93
B 0.5000 0.0000 0.5000  2 O 1.93
B 0.5000 0.5000 0.0000  2 O 1.93
O 0.5000 0.5000 0.5000  6 B 1.93

TlBO2: relaxed, PBE.

Energy ... -63.27 eV per cell
Excess energy over the best structure of this formula in the dataset ... 1.3131 eV per atom
Uncorrected formation energy ... -0.532 eV per atom
Space group ... R-3m

a b c (Å): 2.7591 2.7591 19.7081
angles (deg): 90.00 90.00 120.00
Last column: nearest neighbours and their distance in Å.
Fractional positions:
Tl 0.0000 0.0000 0.0000  2 O 2.44
Tl 0.3333 0.6667 0.6667  2 O 2.44
Tl 0.6667 0.3333 0.3333  2 O 2.44
B 0.0000 0.0000 0.5000  6 O 1.80
B 0.3333 0.6667 0.1667  6 O 1.80
B 0.6667 0.3333 0.8333  6 O 1.80
O 0.0000 0.0000 0.1237  3 B 1.80
O 0.0000 0.0000 0.8763  3 B 1.80
O 0.3333 0.6667 0.5429  3 B 1.80
O 0.3333 0.6667 0.7904  3 B 1.80
O 0.6667 0.3333 0.2096  3 B 1.80
O 0.6667 0.3333 0.4571  3 B 1.80

TlBO2: relaxed, PBE.

Energy ... -62.31 eV per cell
Excess energy over the best structure of this formula in the dataset ... 2.6913 eV per atom
Uncorrected formation energy ... 0.846 eV per atom
Space group ... Fm-3m

a b c (Å): 5.7267 5.7267 5.7267
angles (deg): 90.00 90.00 90.00
Last column: nearest neighbours and their distance in Å.
Fractional positions:
Tl 0.0000 0.0000 0.0000  8 O 2.48
Tl 0.0000 0.5000 0.5000  8 O 2.48
Tl 0.5000 0.0000 0.5000  8 O 2.48
Tl 0.5000 0.5000 0.0000  8 O 2.48
B 0.0000 0.0000 0.5000  8 O 2.48
B 0.0000 0.5000 0.0000  8 O 2.48
B 0.5000 0.0000 0.0000  8 O 2.48
B 0.5000 0.5000 0.5000  8 O 2.48
O 0.2500 0.2500 0.2500  4 Tl 2.48, 4 B 2.48
O 0.2500 0.2500 0.7500  4 Tl 2.48, 4 B 2.48
O 0.2500 0.7500 0.2500  4 B 2.48, 4 Tl 2.48
O 0.2500 0.7500 0.7500  4 Tl 2.48, 4 B 2.48
O 0.7500 0.2500 0.2500  4 B 2.48, 4 Tl 2.48
O 0.7500 0.2500 0.7500  4 Tl 2.48, 4 B 2.48
O 0.7500 0.7500 0.2500  4 Tl 2.48, 4 B 2.48
O 0.7500 0.7500 0.7500  4 B 2.48, 4 Tl 2.48

TlBO3: relaxed, PBE.

Energy ... -25.98 eV per cell
Uncorrected formation energy ... -0.412 eV per atom
Space group ... Pm-3m

a b c (Å): 3.4966 3.4966 3.4966
angles (deg): 90.00 90.00 90.00
Last column: nearest neighbours and their distance in Å.
Fractional positions:
Tl 0.0000 0.0000 0.0000  12 O 2.47
B 0.5000 0.5000 0.5000  6 O 1.75
O 0.0000 0.5000 0.5000  2 B 1.75
O 0.5000 0.0000 0.5000  2 B 1.75
O 0.5000 0.5000 0.0000  2 B 1.75

TlBO2: relaxed, PBE.

Energy ... -75.91 eV per cell
Excess energy over the best structure of this formula in the dataset ... 0.2596 eV per atom
Uncorrected formation energy ... -1.586 eV per atom
Space group ... R-3m

a b c (Å): 3.7449 3.7449 18.2714
angles (deg): 90.00 90.00 120.00
Last column: nearest neighbours and their distance in Å.
Fractional positions:
Tl 0.0000 0.0000 0.0000  6 O 2.80
Tl 0.3333 0.6667 0.6667  6 O 2.80
Tl 0.6667 0.3333 0.3333  6 O 2.80
B 0.0000 0.0000 0.5000  2 O 1.27
B 0.3333 0.6667 0.1667  2 O 1.27
B 0.6667 0.3333 0.8333  2 O 1.27
O 0.0000 0.0000 0.4307  1 B 1.27
O 0.0000 0.0000 0.5693  1 B 1.27
O 0.3333 0.6667 0.0974  1 B 1.27
O 0.3333 0.6667 0.2359  1 B 1.27
O 0.6667 0.3333 0.7641  1 B 1.27
O 0.6667 0.3333 0.9026  1 B 1.27

TmTl3B2O6: relaxed, PBE.

Energy ... -79.52 eV per cell
Uncorrected formation energy ... -2.071 eV per atom
Space group ... P-3m1

a b c (Å): 5.4771 5.4771 7.4887
angles (deg): 90.00 90.00 120.00
Last column: nearest neighbours and their distance in Å.
Fractional positions:
Tm 0.0000 0.0000 0.0000  6 O 2.23
Tl 0.0000 0.0000 0.5000  6 O 2.98
Tl 0.3333 0.6667 0.2866  6 O 2.86
Tl 0.6667 0.3333 0.7134  6 O 2.86
B 0.3333 0.6667 0.8207  3 O 1.39
B 0.6667 0.3333 0.1793  3 O 1.39
O 0.1869 0.3737 0.8197  1 B 1.39
O 0.1869 0.8131 0.8197  1 B 1.39
O 0.3737 0.1869 0.1803  1 B 1.39
O 0.6263 0.8131 0.8197  1 B 1.39
O 0.8131 0.1869 0.1803  1 B 1.39
O 0.8131 0.6263 0.1803  1 B 1.39

TmTlB2O6: relaxed, PBE.

Energy ... -146.21 eV per cell
Uncorrected formation energy ... -2.316 eV per atom
Space group ... C2/c

a b c (Å): 6.3585 6.3585 6.5144
angles (deg): 99.56 99.56 105.04
Last column: nearest neighbours and their distance in Å.
Fractional positions:
Tm 0.0778 0.9222 0.7500  6 O 2.23-2.27
Tm 0.9222 0.0778 0.2500  6 O 2.23-2.27
Tl 0.4100 0.5900 0.2500  6 O 2.28-2.31
Tl 0.5900 0.4100 0.7500  6 O 2.28-2.31
B 0.0827 0.4065 0.7464  3 O 1.38-1.39
B 0.4065 0.0827 0.2464  3 O 1.38-1.39
B 0.5935 0.9173 0.7536  3 O 1.38-1.39
B 0.9173 0.5935 0.2536  3 O 1.38-1.39
O 0.0098 0.2038 0.6029  1 B 1.38
O 0.0413 0.4433 0.2436  1 B 1.39
O 0.2038 0.0098 0.1029  1 B 1.38
O 0.2892 0.4594 0.8848  1 B 1.39
O 0.4433 0.0413 0.7436  1 B 1.39
O 0.4594 0.2892 0.3848  1 B 1.39
O 0.5406 0.7108 0.6152  1 B 1.39
O 0.5567 0.9587 0.2564  1 B 1.39
O 0.7108 0.5406 0.1152  1 B 1.39
O 0.7962 0.9902 0.8971  1 B 1.38
O 0.9587 0.5567 0.7564  1 B 1.39
O 0.9902 0.7962 0.3971  1 B 1.38

UTlB2O8: relaxed, PBE.

Energy ... -90.59 eV per cell
Uncorrected formation energy ... -1.993 eV per atom
Space group ... C2/m

a b c (Å): 4.8289 4.8289 7.1116
angles (deg): 93.44 93.44 66.23
Last column: nearest neighbours and their distance in Å.
Fractional positions:
U 0.0000 0.0000 0.0000  6 O 1.99-2.16
Tl 0.0000 0.0000 0.5000  2 O 2.12
B 0.3422 0.3422 0.7546  4 O 1.47-1.50
B 0.6578 0.6578 0.2454  4 O 1.47-1.50
O 0.2133 0.6753 0.7762  1 B 1.47
O 0.2271 0.2271 0.9102  1 B 1.50
O 0.2602 0.2602 0.5638  1 B 1.47
O 0.3247 0.7867 0.2238  1 B 1.47
O 0.6753 0.2133 0.7762  1 B 1.47
O 0.7398 0.7398 0.4362  1 B 1.47
O 0.7729 0.7729 0.0898  1 B 1.50
O 0.7867 0.3247 0.2238  1 B 1.47

UTlBO5: relaxed, PBE.

Energy ... -126.67 eV per cell
Uncorrected formation energy ... -2.276 eV per atom
Space group ... C2/c

a b c (Å): 5.7816 5.7816 7.8369
angles (deg): 104.93 104.93 104.45
Last column: nearest neighbours and their distance in Å.
Fractional positions:
U 0.0000 0.5000 0.0000  6 O 2.09-2.14
U 0.5000 0.0000 0.5000  6 O 2.09-2.14
Tl 0.0920 0.9080 0.7500  5 O 2.58-2.84
Tl 0.9080 0.0920 0.2500  5 O 2.58-2.84
B 0.4439 0.5561 0.7500  4 O 1.50-1.52
B 0.5561 0.4439 0.2500  4 O 1.50-1.52
O 0.1908 0.8092 0.2500  2 U 2.09
O 0.2748 0.5802 0.8659  1 B 1.50
O 0.2781 0.3633 0.1300  1 B 1.52
O 0.3633 0.2781 0.6300  1 B 1.52
O 0.4198 0.7252 0.6341  1 B 1.50
O 0.5802 0.2748 0.3659  1 B 1.50
O 0.6367 0.7219 0.3700  1 B 1.52
O 0.7219 0.6367 0.8700  1 B 1.52
O 0.7252 0.4198 0.1341  1 B 1.50
O 0.8092 0.1908 0.7500  2 U 2.09

UTlB2O6: relaxed, PBE.

Energy ... -81.50 eV per cell
Uncorrected formation energy ... -2.474 eV per atom
Space group ... R-3

a b c (Å): 6.8880 6.8880 6.8880
angles (deg): 45.94 45.94 45.94
Last column: nearest neighbours and their distance in Å.
Fractional positions:
U 0.0000 0.0000 0.0000  6 O 2.16
Tl 0.5000 0.5000 0.5000  6 O 3.04
B 0.2664 0.2664 0.2664  3 O 1.38
B 0.7336 0.7336 0.7336  3 O 1.38
O 0.0712 0.5576 0.1685  1 B 1.38
O 0.1685 0.0712 0.5576  1 B 1.38
O 0.4424 0.8315 0.9288  1 B 1.38
O 0.5576 0.1685 0.0712  1 B 1.38
O 0.8315 0.9288 0.4424  1 B 1.38
O 0.9288 0.4424 0.8315  1 B 1.38